# Pr4ZnCI2

A relaxed structure of Pr4ZnCI2 (PBE-GGA, Alexandria).

Geometry as POSCAR:
```
Pr4ZnCI2
1.0
4.027 0.000 0.000
0.000 7.438 0.257
0.000 -2.506 7.816
Pr Zn C I
4 1 1 2
Direct
0.500 0.269 0.194
0.500 0.731 0.806
0.000 0.304 0.824
0.000 0.696 0.176
0.000 0.000 0.000
0.500 0.500 0.000
0.500 0.000 0.500
0.000 0.500 0.500
```

Results
raw formation energy: -0.58 eV per atom
density: 6.28 g cm⁻³
space-group type: P2/m (10)